Compound: Ca3Fe2Cl2O5
Source: Alexandria
Functional: PBE with a Hubbard U
Structure: optimized geometry

Values from the calculation:
Calculated density, g cm⁻³: 3.5
E_tot, eV/atom: -5.99

Cell lengths 3.9174, 3.9174, 23.5491 Å; angles 90.00, 90.00, 90.00 degrees
Space group I4/mmm (No. 139)
Inequivalent atoms, fractional coordinates:
Ca1 0.0000 0.0000 0.0000 [2 per cell]
Ca2 0.0000 0.0000 0.1530 [4 per cell]
Fe1 0.0000 0.0000 0.4182 [4 per cell]
Cl1 0.0000 0.0000 0.2974 [4 per cell]
O1 0.0000 0.0000 0.5000 [2 per cell]
O2 0.0000 0.5000 0.0928 [8 per cell]